# 1
The following is a GGA-PBE calculation of crystalline PaMnSi2 at its relaxed geometry, from Alexandria via LeMat-Bulk.

a b c (Å): 2.9762 2.9762 6.8470
angles (deg): 90.00 90.00 90.00
With the nearest neighbours (Å) after each atom.
Space group P4/mmm (No. 123)
Symmetry-distinct sites (fractional):
Pa 0.0000 0.0000 0.0000 [1 per cell]  4 Pa 2.98, 8 Si 3.02
Mn 0.0000 0.0000 0.5000 [1 per cell]  8 Si 2.45
Si 0.5000 0.5000 0.3158 [2 per cell]  4 Mn 2.45, 1 Si 2.52

- raw formation energy (eV/atom) = -0.251
- E (eV per atom) = -7.629

---

# 2
The following is a GGA-PBE calculation of crystalline TaRu at its relaxed geometry, from Alexandria via LeMat-Bulk.

a b c (Å): 5.2308 2.8590 5.0903
angles (deg): 90.00 120.63 90.00
With the nearest neighbours (Å) after each atom.
Space group C2 (No. 5)
Symmetry-distinct sites (fractional):
Ta 0.0000 0.0000 0.0000 [2 per cell]  4 Ru 2.65, 2 Ta 2.86
Ru 0.0000 0.2560 0.5000 [2 per cell]  4 Ta 2.65, 2 Ru 2.86

- formation energy from the elements (eV/atom) = -0.06
- E (eV per atom) = -10.626

---

# 3
The following is a GGA-PBE calculation of crystalline SrTl2Mo at its relaxed geometry, from Alexandria via LeMat-Bulk.

a b c (Å): 3.2166 4.7980 14.6162
angles (deg): 90.00 90.00 90.00
With the nearest neighbours (Å) after each atom.
Space group Imm2 (No. 44)
Symmetry-distinct sites (fractional):
Sr 0.0000 0.0000 0.0000 [2 per cell]  2 Sr 3.22, 2 Mo 3.29, 6 Tl 3.54-3.59
Tl 0.0000 0.0000 0.6395 [2 per cell]  2 Mo 2.89, 2 Tl 3.22
Tl 0.0000 0.5000 0.8175 [2 per cell]  4 Mo 2.90, 2 Tl 3.22
Mo 0.0000 0.5000 0.3037 [2 per cell]  6 Tl 2.89-2.90, 2 Mo 3.22

- formation energy from the elements (eV/atom) = 0.45
- excess energy over the best structure of this formula in the dataset (meV/atom) = 62
- E (eV per atom) = -3.858

---

# 4
The following is a GGA-PBE calculation of crystalline BaCuAg2Bi at its relaxed geometry, from Alexandria via LeMat-Bulk.

a b c (Å): 5.1251 5.1251 5.2618
angles (deg): 90.00 90.00 90.00
With the nearest neighbours (Å) after each atom.
Space group P4/mmm (No. 123)
Symmetry-distinct sites (fractional):
Ba 0.0000 0.0000 0.0000 [1 per cell]  4 Bi 3.62, 8 Ag 3.67
Cu 0.5000 0.5000 0.5000 [1 per cell]  4 Ag 2.56, 2 Bi 2.63
Ag 0.0000 0.5000 0.5000 [2 per cell]  2 Cu 2.56
Bi 0.5000 0.5000 0.0000 [1 per cell]  2 Cu 2.63

- formation energy from the elements (eV/atom) = -0.10
- excess energy over the best structure of this formula in the dataset (meV/atom) = 0
- E (eV per atom) = -3.223

---

# 5
The following is a GGA-PBE calculation of crystalline Rb5Ce2I12 at its relaxed geometry, from Alexandria via LeMat-Bulk.

a b c (Å): 20.7048 9.3297 11.7366
angles (deg): 90.00 111.74 90.00
With the nearest neighbours (Å) after each atom.
Space group C2/m (No. 12)
Symmetry-distinct sites (fractional):
Rb 0.0000 0.0000 0.0000 [2 per cell]  6 I 3.64-3.83
Rb 0.1817 0.5000 0.3075 [4 per cell]  6 I 3.58-3.96
Rb 0.2163 0.5000 0.8918 [4 per cell]  5 I 3.63-3.96
Ce 0.0000 0.2511 0.5000 [4 per cell]  6 I 3.02-3.17
I 0.0145 0.5000 0.6923 [4 per cell]  2 Ce 3.17
I 0.0207 0.0000 0.6889 [4 per cell]  2 Ce 3.14
I 0.1426 0.2532 0.0578 [8 per cell]  4 Rb 3.58-3.69
I 0.1553 0.2578 0.5627 [8 per cell]  1 Ce 3.02

- raw formation energy (eV/atom) = -1.337
- E (eV per atom) = -3.196

---

# 6
The following is a GGA-PBE calculation of crystalline BeIn2Co at its relaxed geometry, from Alexandria via LeMat-Bulk.

a b c (Å): 6.3617 6.3617 6.3617
angles (deg): 90.00 90.00 90.00
With the nearest neighbours (Å) after each atom.
Space group F-43m (No. 216)
Symmetry-distinct sites (fractional):
Be 0.0000 0.0000 0.0000 [4 per cell]  4 Co 2.75, 4 In 2.75
In 0.0000 0.0000 0.5000 [4 per cell]  4 In 2.75, 4 Co 2.75
In 0.2500 0.2500 0.7500 [4 per cell]  4 In 2.75, 4 Be 2.75
Co 0.2500 0.2500 0.2500 [4 per cell]  4 In 2.75, 4 Be 2.75

- formation energy from the elements (eV/atom) = 0.58
- E (eV per atom) = -3.494

---

# 7
The following is a GGA-PBE calculation of crystalline ZrInSe2 at its relaxed geometry, from Alexandria via LeMat-Bulk.

a b c (Å): 3.9822 3.9822 11.2197
angles (deg): 90.00 90.00 90.00
With the nearest neighbours (Å) after each atom.
Space group I-4m2 (No. 119)
Symmetry-distinct sites (fractional):
Zr 0.0000 0.0000 0.0000 [2 per cell]  4 Se 2.82
In 0.0000 0.5000 0.7500 [2 per cell]  4 Se 2.82
Se 0.0000 0.0000 0.5000 [2 per cell]  4 Zr 2.82
Se 0.0000 0.5000 0.2500 [2 per cell]  4 In 2.82

- raw formation energy (eV/atom) = -0.410
- E (eV per atom) = -4.974

---

# 8
The following is a GGA-PBE calculation of crystalline K2CaV at its relaxed geometry, from Alexandria via LeMat-Bulk.

a b c (Å): 4.9429 4.9429 27.4893
angles (deg): 90.00 90.00 90.00
With the nearest neighbours (Å) after each atom.
Space group I-42d (No. 122)
Symmetry-distinct sites (fractional):
K 0.2335 0.2500 0.1250 [8 per cell]  4 K 3.38-3.61
Ca 0.0000 0.0000 0.5000 [4 per cell]  4 V 3.50, 4 K 3.88
V 0.0000 0.0000 0.0000 [4 per cell]  4 Ca 3.50, 4 K 3.83

- formation energy from the elements (eV/atom) = 0.91
- excess energy over the best structure of this formula in the dataset (meV/atom) = 0
- E (eV per atom) = -2.416

---

# 9
The following is a GGA-PBE calculation of crystalline NaCaIn3 at its relaxed geometry, from Alexandria via LeMat-Bulk.

a b c (Å): 3.6293 30.3682 5.0201
angles (deg): 90.00 90.00 90.00
With the nearest neighbours (Å) after each atom.
Space group Cmcm (No. 63)
Symmetry-distinct sites (fractional):
Na 0.0000 0.2174 0.2500 [4 per cell]  7 In 3.28-3.41, 2 Na 3.63
Ca 0.0000 0.0735 0.7500 [4 per cell]  12 In 3.43-3.57, 2 Ca 3.63
In 0.0000 0.3253 0.2500 [4 per cell]  2 In 2.97, 1 Na 3.28
In 0.0000 0.3778 0.7500 [4 per cell]  3 In 2.96-2.97
In 0.0000 0.4753 0.7500 [4 per cell]  3 In 2.93-2.96

- formation energy from the elements (eV/atom) = -0.27
- excess energy over the best structure of this formula in the dataset (meV/atom) = 0
- E (eV per atom) = -2.581

---

# 10
The following is a GGA-PBE calculation of crystalline SnAsF7 at its relaxed geometry, from Alexandria via LeMat-Bulk.

a b c (Å): 9.3435 9.3435 17.1218
angles (deg): 90.00 90.00 120.00
With the nearest neighbours (Å) after each atom.
Space group R32 (No. 155, hexagonal axes)
Symmetry-distinct sites (fractional):
Sn 0.0000 0.7415 0.0000 [9 per cell]  2 F 2.14
As 0.0000 0.0000 0.2009 [6 per cell]  6 F 1.76-1.79
As 0.0000 0.0000 0.5000 [3 per cell]  6 F 1.78
F 0.0000 0.1794 0.0000 [9 per cell]  2 Sn 2.14
F 0.0016 0.1564 0.2592 [18 per cell]  1 As 1.76
F 0.0043 0.8461 0.8599 [18 per cell]  1 As 1.79
F 0.0891 0.9100 0.5602 [18 per cell]  1 As 1.78

- raw formation energy (eV/atom) = -2.198
- E (eV per atom) = -4.615

---

# 11
The following is a GGA-PBE calculation of crystalline Sr3Sm2YSe6 at its relaxed geometry, from Alexandria via LeMat-Bulk.

a b c (Å): 7.3525 12.7211 7.5133
angles (deg): 90.00 109.05 90.00
With the nearest neighbours (Å) after each atom.
Space group C2/m (No. 12)
Symmetry-distinct sites (fractional):
Sr 0.0000 0.0000 0.0000 [2 per cell]  6 Se 3.08-3.11
Sr 0.0000 0.3319 0.0000 [4 per cell]  6 Se 3.08-3.10
Sm 0.0000 0.1662 0.5000 [4 per cell]  6 Se 2.98
Y 0.0000 0.5000 0.5000 [2 per cell]  6 Se 2.93-2.94
Se 0.2425 0.3356 0.7349 [8 per cell]  1 Y 2.93, 2 Sm 2.98, 3 Sr 3.08-3.10
Se 0.2501 0.0000 0.7360 [4 per cell]  1 Y 2.94, 2 Sm 2.98, 3 Sr 3.08-3.11

- raw formation energy (eV/atom) = -1.905
- E (eV per atom) = -5.393

---

# 12
The following is a GGA-PBE calculation of crystalline PuHfMn at its relaxed geometry, from Alexandria via LeMat-Bulk.

a b c (Å): 3.1128 3.1128 12.0527
angles (deg): 90.00 90.00 90.00
With the nearest neighbours (Å) after each atom.
Space group I4mm (No. 107)
Symmetry-distinct sites (fractional):
Pu 0.0000 0.0000 0.0000 [2 per cell]  4 Mn 2.83, 4 Pu 3.11
Hf 0.0000 0.0000 0.2841 [2 per cell]  4 Mn 2.75
Mn 0.0000 0.0000 0.6475 [2 per cell]  4 Hf 2.75, 4 Pu 2.83

- formation energy from the elements (eV/atom) = 0.12
- excess energy over the best structure of this formula in the dataset (meV/atom) = 0
- E (eV per atom) = -11.033

---

# 13
The following is a GGA-PBE calculation of crystalline Mn2FeOs at its relaxed geometry, from Alexandria via LeMat-Bulk.

a b c (Å): 5.1417 7.2370 2.6127
angles (deg): 90.00 90.00 90.00
With the nearest neighbours (Å) after each atom.
Space group Cmmm (No. 65)
Symmetry-distinct sites (fractional):
Mn 0.2500 0.2500 0.0000 [4 per cell]  4 Mn 2.57-2.61, 4 Fe 2.58, 4 Os 2.58
Fe 0.0000 0.0000 0.5000 [2 per cell]  2 Os 2.57, 8 Mn 2.58, 2 Fe 2.61
Os 0.0000 0.5000 0.5000 [2 per cell]  2 Fe 2.57, 8 Mn 2.58, 2 Os 2.61

- formation energy from the elements (eV/atom) = 0.06
- E (eV per atom) = -9.452

---

# 14
The following is a GGA-PBE calculation of crystalline KTc at its relaxed geometry, from Alexandria via LeMat-Bulk.

a b c (Å): 8.0757 8.0757 8.0757
angles (deg): 90.00 90.00 90.00
With the nearest neighbours (Å) after each atom.
Space group F-43m (No. 216)
Symmetry-distinct sites (fractional):
K 0.0000 0.0000 0.0000 [4 per cell]  4 Tc 3.50
Tc 0.2500 0.2500 0.7500 [4 per cell]  4 K 3.50

- formation energy from the elements (eV/atom) = 2.85
- excess energy over the best structure of this formula in the dataset (meV/atom) = 2089
- E (eV per atom) = -2.886

---

# 15
The following is a GGA-PBE calculation of crystalline Pu2PAu at its relaxed geometry, from Alexandria via LeMat-Bulk.

a b c (Å): 3.9299 3.9299 22.5252
angles (deg): 90.00 90.00 120.00
With the nearest neighbours (Å) after each atom.
Space group R3m (No. 160, hexagonal axes)
Symmetry-distinct sites (fractional):
Pu 0.0000 0.0000 0.0000 [3 per cell]  3 P 2.81, 3 Au 3.08
Pu 0.0000 0.0000 0.1864 [3 per cell]  3 P 2.81, 3 Au 3.10
P 0.0000 0.0000 0.5933 [3 per cell]  6 Pu 2.81
Au 0.0000 0.0000 0.4260 [3 per cell]  6 Pu 3.08-3.10

- formation energy from the elements (eV/atom) = -0.66
- excess energy over the best structure of this formula in the dataset (meV/atom) = 59
- E (eV per atom) = -9.997

---

# 16
The following is a GGA-PBE calculation of crystalline AcNiN4 at its relaxed geometry, from Alexandria via LeMat-Bulk.

a b c (Å): 7.5607 8.5308 5.8600
angles (deg): 90.00 90.00 90.00
With the nearest neighbours (Å) after each atom.
Space group Ccc2 (No. 37)
Symmetry-distinct sites (fractional):
Ac 0.2500 0.2500 0.0000 [4 per cell]  6 N 2.65-2.82
Ni 0.0000 0.0000 0.2400 [4 per cell]  6 N 1.92-2.06
N 0.1008 0.1830 0.6022 [8 per cell]  1 N 1.30
N 0.1610 0.0701 0.4756 [8 per cell]  1 N 1.30

- raw formation energy (eV/atom) = -0.011
- E (eV per atom) = -7.210

---

# 17
The following is a GGA-PBE calculation of crystalline KBa2Y at its relaxed geometry, from Alexandria via LeMat-Bulk.

a b c (Å): 13.4986 4.0411 7.8576
angles (deg): 90.00 97.20 90.00
With the nearest neighbours (Å) after each atom.
Space group C2/m (No. 12)
Symmetry-distinct sites (fractional):
K 0.0000 0.0000 0.0000 [2 per cell]  2 K 4.04, 6 Ba 4.12-4.35, 4 Y 4.42
Ba 0.2418 0.0000 0.7274 [4 per cell]  4 Ba 4.04-4.14, 3 Y 4.06-4.11, 3 K 4.12-4.35
Y 0.0000 0.5000 0.5000 [2 per cell]  2 Y 4.04, 6 Ba 4.06-4.11, 4 K 4.42

- formation energy from the elements (eV/atom) = 0.33
- excess energy over the best structure of this formula in the dataset (meV/atom) = 130
- E (eV per atom) = -2.519

---

# 18
The following is a GGA-PBE calculation of crystalline Rb2AsBr at its relaxed geometry, from Alexandria via LeMat-Bulk.

a b c (Å): 9.1440 9.1440 9.4472
angles (deg): 90.00 90.00 90.00
With the nearest neighbours (Å) after each atom.
Space group I-42d (No. 122)
Symmetry-distinct sites (fractional):
Rb 0.2327 0.2500 0.1250 [8 per cell]  2 Br 3.34, 2 As 3.55
As 0.0000 0.0000 0.5000 [4 per cell]  4 Rb 3.55
Br 0.0000 0.0000 0.0000 [4 per cell]  4 Rb 3.34

- raw formation energy (eV/atom) = -0.562
- excess energy over the best structure of this formula in the dataset (meV/atom) = 14
- E (eV per atom) = -2.627

---

# 19
The following is a GGA-PBE calculation of crystalline U3Al5O12 at its relaxed geometry, from Alexandria via LeMat-Bulk.

a b c (Å): 12.3339 12.3339 12.3339
angles (deg): 90.00 90.00 90.00
With the nearest neighbours (Å) after each atom.
Space group Ia-3d (No. 230)
Symmetry-distinct sites (fractional):
U 0.0000 0.2500 0.1250 [24 per cell]  8 O 2.42-2.56
Al 0.0000 0.0000 0.0000 [16 per cell]  6 O 1.95
Al 0.0000 0.2500 0.3750 [24 per cell]  4 O 1.79
O 0.0347 0.0468 0.6468 [96 per cell]  2 Al 1.79-1.95

- raw formation energy (eV/atom) = -2.847
- E (eV per atom) = -8.451

---

# 20
The following is a GGA-PBE calculation of crystalline BaSn2Au at its relaxed geometry, from Alexandria via LeMat-Bulk.

a b c (Å): 5.1282 5.1282 20.4490
angles (deg): 90.00 90.00 90.00
With the nearest neighbours (Å) after each atom.
Space group I-42d (No. 122)
Symmetry-distinct sites (fractional):
Ba 0.0000 0.0000 0.0000 [4 per cell]  4 Sn 3.41, 4 Au 3.63
Sn 0.1394 0.2500 0.6250 [8 per cell]  2 Sn 2.94, 2 Au 2.95
Au 0.0000 0.0000 0.5000 [4 per cell]  4 Sn 2.95

- formation energy from the elements (eV/atom) = -0.36
- E (eV per atom) = -3.661

---

# 21
The following is a GGA-PBE calculation of crystalline Rb2NaGa2 at its relaxed geometry, from Alexandria via LeMat-Bulk.

a b c (Å): 8.1727 8.1727 5.9901
angles (deg): 90.00 90.00 90.00
With the nearest neighbours (Å) after each atom.
Space group P4/mbm (No. 127)
Symmetry-distinct sites (fractional):
Rb 0.1834 0.3166 0.0000 [4 per cell]  6 Ga 3.85-3.87, 5 Rb 4.23-4.24, 4 Na 4.23
Na 0.0000 0.0000 0.5000 [2 per cell]  4 Ga 3.33
Ga 0.1075 0.6075 0.5000 [4 per cell]  1 Ga 2.49

- formation energy from the elements (eV/atom) = 0.09
- excess energy over the best structure of this formula in the dataset (meV/atom) = 9
- E (eV per atom) = -1.768

---

Total magnetic moment / μB per formula unit: 0.60; 0.00; 0.00; 0.00; 1.20; 0.00; 0.00; 4.79; 0.00; 0.00; 0.00; 3.82; 0.56; 4.00; 11.69; 0.00; 1.21; 2.00; 9.00; 0.00; 0.00